## Ac2Tb4Pr3 (PBE)

Data for a relaxed structure of Ac2Tb4Pr3.

Values from the calculation:
The relative energy among the computed polymorphs comes out at 0 meV/atom. The total magnetization is 0.00 μB/cell. For the energy relative to the elements, the calculation gives 0.038 eV/atom. The total energy comes out at -4.53 eV per atom.

abc: 6.4301 8.3059 6.3983
angles: 104.93 80.50 97.75
Last column: nearest neighbours and their distance in Å.
Fractional positions:
Tb  0.4467  0.8882  0.2231  5 Pr 3.66-3.73, 4 Tb 3.68-3.72, 3 Ac 3.68-3.70
Tb  0.2267  0.4447  0.1066  4 Tb 3.64-3.73, 4 Pr 3.66-3.78, 4 Ac 3.67-3.73
Tb  0.5533  0.1118  0.7769  5 Pr 3.66-3.73, 4 Tb 3.68-3.72, 3 Ac 3.68-3.70
Tb  0.7733  0.5553  0.8934  4 Tb 3.64-3.73, 4 Pr 3.66-3.78, 4 Ac 3.67-3.73
Pr  0.0000  0.0000  0.0000  4 Pr 3.65-3.72, 2 Ac 3.68, 6 Tb 3.70-3.73
Pr  0.8889  0.7817  0.4388  3 Pr 3.65-3.72, 6 Tb 3.66-3.78, 3 Ac 3.73-3.75
Pr  0.1111  0.2183  0.5612  3 Pr 3.65-3.72, 6 Tb 3.66-3.78, 3 Ac 3.73-3.75
Ac  0.6707  0.3306  0.3293  7 Tb 3.67-3.73, 4 Pr 3.68-3.75, 1 Ac 3.80
Ac  0.3293  0.6694  0.6707  7 Tb 3.67-3.73, 4 Pr 3.68-3.75, 1 Ac 3.80

## Mn2TlAu (PBE)

Data for a relaxed structure of Mn2TlAu.

Values from the calculation:
The relative energy among the computed polymorphs comes out at 66 meV/atom. The total magnetization is 7.60 μB/cell. For the energy relative to the elements, the calculation gives 0.316 eV/atom. The total energy comes out at -5.68 eV per atom.

abc: 5.5828 5.5828 5.5828
angles: 145.71 131.68 60.58
Last column: nearest neighbours and their distance in Å.
Fractional positions:
Mn  0.0048  0.0048  0.0000  2 Au 2.78, 4 Tl 2.82, 2 Mn 2.86
Mn  0.7620  0.2620  0.5000  4 Au 2.83, 2 Mn 2.86, 2 Tl 3.04
Tl  0.4963  0.4963  0.0000  6 Mn 2.82-3.04, 2 Au 2.99
Au  0.2368  0.7368  0.5000  6 Mn 2.78-2.83, 2 Tl 2.99

## Pu2NbN3 (PBE)

Data for a relaxed structure of Pu2NbN3.

Values from the calculation:
The total magnetization is 18.04 μB/cell. The total energy comes out at -11.84 eV per atom. Its formation energy without anion corrections is -1.2200 eV per atom.

abc: 5.7860 5.7860 5.8153
angles: 99.52 99.52 120.03
Last column: nearest neighbours and their distance in Å.
Fractional positions:
N  0.4106  0.0855  0.2315  2 Nb 2.29, 4 Pu 2.35-2.45
N  0.9145  0.5894  0.7685  2 Nb 2.29, 4 Pu 2.35-2.45
N  0.0686  0.4019  0.2313  2 Nb 2.29, 4 Pu 2.35-2.45
N  0.7522  0.7440  0.2315  2 Nb 2.29, 4 Pu 2.35-2.45
N  0.5981  0.9314  0.7687  2 Nb 2.29, 4 Pu 2.35-2.45
N  0.2560  0.2478  0.7685  2 Nb 2.29, 4 Pu 2.35-2.45
Pu  0.3333  0.6667  0.0000  6 N 2.35
Pu  0.1659  0.8341  0.5000  6 N 2.38-2.45
Pu  0.8333  0.1667  0.5000  6 N 2.39-2.45
Pu  0.5008  0.4992  0.5000  6 N 2.38-2.45
Nb  0.6663  0.3337  0.0000  6 N 2.29
Nb  0.0004  0.9996  0.0000  6 N 2.29

## CaCdSe2 (PBE)

Data for a relaxed structure of CaCdSe2.

Values from the calculation:
The total magnetization is 0.00 μB/cell. The total energy comes out at -3.40 eV per atom. Its formation energy without anion corrections is -0.9239 eV per atom.

abc: 5.0141 5.0141 3.6754
angles: 90.00 90.00 90.05
Last column: nearest neighbours and their distance in Å.
Fractional positions:
Ca  0.5000  0.0000  0.5000  8 Se 3.11
Se  0.5000  0.5000  0.0000  4 Cd 3.11, 4 Ca 3.11
Se  0.0000  0.0000  0.0000  4 Ca 3.11, 4 Cd 3.11
Cd  0.0000  0.5000  0.5000  8 Se 3.11

## BeCuAs (PBE)

Data for a relaxed structure of BeCuAs.

Values from the calculation:
The total magnetization is 0.00 μB/cell. For the energy relative to the elements, the calculation gives 0.014 eV/atom. The total energy comes out at -4.14 eV per atom.

abc: 7.2685 3.8652 3.8670
angles: 60.00 89.90 90.02
Last column: nearest neighbours and their distance in Å.
Fractional positions:
As  0.7952  0.8371  0.1773  4 Cu 2.42-2.50, 3 Be 2.63
As  0.2438  0.5011  0.8482  3 Be 2.29
Be  0.3147  0.1680  0.5144  3 As 2.29, 4 Cu 2.44-2.56
Be  0.6039  0.5030  0.8451  6 Cu 2.28-2.49
Cu  0.4519  0.8357  0.1790  6 Be 2.44-2.49, 4 As 2.50-2.70, 3 Cu 2.72-2.73
Cu  0.6671  0.1701  0.5111  3 Be 2.28, 3 As 2.42

## SmAlSO2 (PBE)

Data for a relaxed structure of SmAlSO2.

Values from the calculation:
The total magnetization is 0.00 μB/cell. The total energy comes out at -7.22 eV per atom. Its formation energy without anion corrections is -2.7220 eV per atom.

abc: 3.7231 3.7232 5.5532
angles: 90.00 90.00 90.00
Last column: nearest neighbours and their distance in Å.
Fractional positions:
O  0.0000  0.5000  0.9318  2 Al 1.93
O  0.5000  0.0000  0.9318  2 Al 1.93
Al  0.0000  0.0000  0.0242  4 O 1.93
Sm  0.5000  0.5000  0.6738  4 O 2.35
S  0.0000  0.0000  0.4384  1 Al 2.30